[1]
Computed, not measured: an optimized crystal structure of TlRhIN2 at the PBEsol level of DFT.

Output
The magnetic moment is 3.78 Bohr magnetons per cell. The uncorrected formation energy comes out at 2096 meV per atom. The calculation puts the energy relative to the lowest polymorph listed for this composition at 0.957 eV per atom.

a b c (Å): 4.113 4.113 6.509
angles (deg): 90.00 90.00 90.00
Space group P4/mmm (No. 123)
Symmetry-distinct sites (fractional):
Tl 0.000 0.000 0.000
Rh 0.500 0.500 0.500
I 0.000 0.000 0.500
N 0.000 0.500 0.000

[2]
Computed, not measured: an optimized crystal structure of RuI2N2 at the PBEsol level of DFT.

Output
The magnetic moment is 2.36 Bohr magnetons per cell. The uncorrected formation energy comes out at 1305 meV per atom.

a b c (Å): 5.472 5.472 3.633
angles (deg): 90.00 90.00 90.00
Space group P4/mmm (No. 123)
Symmetry-distinct sites (fractional):
Ru 0.000 0.000 0.000
I 0.000 0.500 0.000
N 0.000 0.000 0.500
N 0.500 0.500 0.500

[3]
Computed, not measured: an optimized crystal structure of TcRuIN2 at the PBEsol level of DFT.

Output
The magnetic moment is 2.99 Bohr magnetons per cell. The uncorrected formation energy comes out at 1413 meV per atom.

a b c (Å): 3.789 3.789 5.758
angles (deg): 90.00 90.00 90.00
Space group P4/mmm (No. 123)
Symmetry-distinct sites (fractional):
Tc 0.000 0.000 0.000
Ru 0.500 0.500 0.500
I 0.500 0.500 0.000
N 0.000 0.500 0.500

[4]
Computed, not measured: an optimized crystal structure of TeRuIN2 at the PBEsol level of DFT.

Output
The magnetic moment is 2.27 Bohr magnetons per cell. The uncorrected formation energy comes out at 1852 meV per atom.

a b c (Å): 3.913 3.913 6.729
angles (deg): 90.00 90.00 90.00
Space group P4/mmm (No. 123)
Symmetry-distinct sites (fractional):
Te 0.000 0.000 0.000
Ru 0.500 0.500 0.500
I 0.000 0.000 0.500
N 0.000 0.500 0.000

Number 1: total energy -3.8214 eV per atom, ρ 6.97 g/cm3. Number 2: total energy -4.8474 eV per atom, ρ 5.85 g/cm3. Number 3: total energy -6.6386 eV per atom, ρ 7.11 g/cm3. Number 4: total energy -4.6516 eV per atom, ρ 6.18 g/cm3.